Entry 1:
# Li2Mg5Ag2 | the Alexandria database | PBE | relaxed
# - total moment (μB/atom) = 0.00
# - N(E_F) (states/eV per atom) = 0.32
# - space-group type = P-1, No. 2
# - E_tot (eV per atom) = -2.0707
# - density (g/cm3) = 3.3
# - V (Å³ per cell) = 175
data_Li2Mg5Ag2
_chemical_formula_sum 'Li2 Mg5 Ag2'
_space_group_name_H-M_alt 'P 1'
_space_group_IT_number 1
_space_group_name_Hall 'P 1'
_cell_length_a 4.4938
_cell_length_b 8.0328
_cell_length_c 6.9949
_cell_angle_alpha 131.71
_cell_angle_beta 90.17
_cell_angle_gamma 105.98
loop_
_atom_site_label
_atom_site_type_symbol
_atom_site_fract_x
_atom_site_fract_y
_atom_site_fract_z
Mg1 Mg 0.8755 0.7494 0.4230
Li1 Li 0.2237 0.4454 0.1339
Mg2 Mg 0.0000 0.0000 0.0000
Li2 Li 0.7763 0.5546 0.8661
Mg3 Mg 0.5644 0.1263 0.7980
Ag1 Ag 0.6626 0.3260 0.3352
Mg4 Mg 0.4356 0.8737 0.2020
Ag2 Ag 0.3374 0.6740 0.6648
Mg5 Mg 0.1245 0.2506 0.5770



Entry 2:
# LaFeIr2 | the Alexandria database | PBE | relaxed
# - total moment (μB/atom) = 0.83
# - N(E_F) (states/eV per atom) = 1.42
# - space-group type = I-4m2, No. 119
# - E_tot (eV per atom) = -7.6490
# - density (g/cm3) = 13.4
# - V (Å³ per cell) = 72
data_LaFeIr2
_chemical_formula_sum 'La1 Fe1 Ir2'
_space_group_name_H-M_alt 'P 1'
_space_group_IT_number 1
_space_group_name_Hall 'P 1'
_cell_length_a 5.0927
_cell_length_b 5.0927
_cell_length_c 5.0927
_cell_angle_alpha 131.98
_cell_angle_beta 131.98
_cell_angle_gamma 70.26
loop_
_atom_site_label
_atom_site_type_symbol
_atom_site_fract_x
_atom_site_fract_y
_atom_site_fract_z
Fe1 Fe 0.7500 0.2500 0.5000
Ir1 Ir 0.2500 0.7500 0.5000
Ir2 Ir 0.0000 0.0000 0.0000
La1 La 0.5000 0.5000 0.0000



Entry 3:
# LaNd4Y | the Alexandria database | PBE | relaxed
# - total moment (μB/atom) = 0.00
# - N(E_F) (states/eV per atom) = 1.59
# - space-group type = C2/m, No. 12
# - E_tot (eV per atom) = -5.0627
# - density (g/cm3) = 6.4
# - V (Å³ per cell) = 421
data_LaNd4Y
_chemical_formula_sum 'La2 Nd8 Y2'
_space_group_name_H-M_alt 'P 1'
_space_group_IT_number 1
_space_group_name_Hall 'P 1'
_cell_length_a 3.6850
_cell_length_b 12.1907
_cell_length_c 10.3592
_cell_angle_alpha 115.25
_cell_angle_beta 90.00
_cell_angle_gamma 90.00
loop_
_atom_site_label
_atom_site_type_symbol
_atom_site_fract_x
_atom_site_fract_y
_atom_site_fract_z
Nd1 Nd 0.4998 0.8339 0.1647
Nd2 Nd 0.9998 0.6661 0.3353
La1 La 0.0000 0.0000 0.5000
Y1 Y 0.0000 0.0000 0.0000
Nd3 Nd 0.9997 0.6673 0.8315
La2 La 0.5000 0.5000 0.0000
Nd4 Nd 0.4997 0.8327 0.6685
Nd5 Nd 0.0003 0.3327 0.1685
Nd6 Nd 0.0002 0.3339 0.6647
Nd7 Nd 0.5002 0.1661 0.8353
Y2 Y 0.5000 0.5000 0.5000
Nd8 Nd 0.5003 0.1673 0.3315